Record 1
BaLiYCd | PBE-GGA | optimized geometry

Cell: 5.6662 5.6662 5.6662 Å, 60.00 60.00 60.00°
Atoms (fractional coordinates):
Ba1 0.7500 0.7500 0.7500
Y1 0.2500 0.2500 0.2500
Li1 0.5000 0.5000 0.5000
Cd1 0.0000 0.0000 0.0000

Properties
Calculated formation energy   -15.0 meV/atom



Record 2
BaLi2ZnCd4 | PBE-GGA | optimized geometry

Cell: 4.6887 4.6887 10.7372 Å, 77.39 77.39 60.00°
Atoms (fractional coordinates):
Li1 0.7728 0.7728 0.6817
Cd1 0.8661 0.8661 0.4016
Li2 0.2272 0.2272 0.3183
Zn1 0.5000 0.5000 0.5000
Cd2 0.5907 0.5907 0.2279
Cd3 0.4093 0.4093 0.7721
Cd4 0.1339 0.1339 0.5984
Ba1 0.0000 0.0000 0.0000

Properties
Calculated formation energy   -193.3 meV/atom



Record 3
Ba2LiZn3Cd4 | PBE-GGA | optimized geometry

Cell: 4.6061 4.6061 12.4080 Å, 90.00 90.00 90.00°
Atoms (fractional coordinates):
Zn1 0.5000 0.0000 0.8614
Li1 0.5000 0.5000 0.5000
Cd1 0.0000 0.0000 0.0000
Cd2 0.5000 0.0000 0.6310
Ba1 0.0000 0.5000 0.7542
Zn2 0.0000 0.5000 0.1386
Cd3 0.5000 0.5000 0.0000
Zn3 0.0000 0.0000 0.5000
Ba2 0.5000 0.0000 0.2458
Cd4 0.0000 0.5000 0.3690

Properties
Calculated formation energy   -218.0 meV/atom



Record 4
BaLiZn2Cd | PBE-GGA | optimized geometry

Cell: 5.0243 5.0243 5.0925 Å, 90.00 90.00 90.00°
Atoms (fractional coordinates):
Ba1 0.5000 0.5000 0.5000
Li1 0.0000 0.0000 0.0000
Zn1 0.0000 0.5000 0.0000
Zn2 0.5000 0.0000 0.0000
Cd1 0.0000 0.0000 0.5000

Properties
Calculated formation energy   -61.8 meV/atom



Record 5
BaLi2ZnCd | PBE-GGA | optimized geometry

Cell: 5.2629 5.2629 5.1170 Å, 90.00 90.00 90.00°
Atoms (fractional coordinates):
Zn1 0.0000 0.0000 0.5000
Ba1 0.5000 0.5000 0.5000
Cd1 0.0000 0.0000 0.0000
Li1 0.0000 0.5000 0.0000
Li2 0.5000 0.0000 0.0000

Properties
Calculated formation energy   -42.1 meV/atom
E above lowest polymorph   0.14 eV/f.u.



Record 6
Ba2LiZnCd | PBE-GGA | optimized geometry

Cell: 6.3785 6.3785 4.8977 Å, 90.00 90.00 90.00°
Atoms (fractional coordinates):
Zn1 0.0000 0.0000 0.0000
Li1 0.0000 0.0000 0.5000
Cd1 0.5000 0.5000 0.5000
Ba1 0.5000 0.0000 0.0000
Ba2 0.0000 0.5000 0.0000

Properties
Calculated formation energy   -27.5 meV/atom



Record 7
BaLiZn2Cd4 | PBE-GGA | optimized geometry

Cell: 4.6888 4.6888 10.3969 Å, 76.97 76.97 60.00°
Atoms (fractional coordinates):
Zn1 0.2347 0.2347 0.2960
Li1 0.5000 0.5000 0.5000
Cd1 0.5914 0.5914 0.2257
Ba1 0.0000 0.0000 0.0000
Cd2 0.8643 0.8643 0.4070
Zn2 0.7653 0.7653 0.7040
Cd3 0.4086 0.4086 0.7743
Cd4 0.1357 0.1357 0.5930

Properties
Calculated formation energy   -165.8 meV/atom



Record 8
BaLi2ZnCd | PBE-GGA | optimized geometry

Cell: 5.2051 5.2051 5.1362 Å, 90.00 90.00 90.00°
Atoms (fractional coordinates):
Cd1 0.0000 0.0000 0.5000
Ba1 0.5000 0.5000 0.5000
Li1 0.5000 0.0000 0.0000
Li2 0.0000 0.5000 0.0000
Zn1 0.0000 0.0000 0.0000

Properties
Calculated formation energy   -71.0 meV/atom
E above lowest polymorph   0.00 eV/f.u.



Record 9
Ba2LuCd | PBE-GGA | optimized geometry

Cell: 3.7879 3.7879 13.0613 Å, 81.66 81.66 60.00°
Atoms (fractional coordinates):
Cd1 0.5000 0.5000 0.5000
Lu1 0.0000 0.0000 0.0000
Ba1 0.0921 0.0921 0.7238
Ba2 0.9079 0.9079 0.2762

Properties
Calculated formation energy   302.5 meV/atom



Record 10
BaLu2Cd | PBE-GGA | optimized geometry

Cell: 3.5560 3.5560 12.1583 Å, 81.59 81.59 60.00°
Each line ends with the local moment (μB).
Atoms (fractional coordinates):
Lu1 0.0996 0.0996 0.7011  0.01
Lu2 0.9004 0.9004 0.2989  0.01
Cd1 0.5000 0.5000 0.5000  0.00
Ba1 0.0000 0.0000 0.0000  0.08

Properties
Calculated formation energy   194.4 meV/atom



Record 11
BaLuMgCd | PBE-GGA | optimized geometry

Cell: 5.6364 5.6364 5.6364 Å, 60.00 60.00 60.00°
Atoms (fractional coordinates):
Mg1 0.5000 0.5000 0.5000
Ba1 0.7500 0.7500 0.7500
Lu1 0.2500 0.2500 0.2500
Cd1 0.0000 0.0000 0.0000

Properties
Calculated formation energy   -31.2 meV/atom



Record 12
BaLuCdPb | PBE-GGA | optimized geometry

Cell: 5.6587 5.6587 5.6587 Å, 60.00 60.00 60.00°
Atoms (fractional coordinates):
Pb1 0.7500 0.7500 0.7500
Ba1 0.0000 0.0000 0.0000
Cd1 0.2500 0.2500 0.2500
Lu1 0.5000 0.5000 0.5000

Properties
Calculated formation energy   -262.7 meV/atom



Fermi-level density of states / states/eV per cell: 4.20; 3.02; 5.12; 2.85; 2.97; 2.91; 3.95; 2.94; 5.14; 4.20; 3.82; 3.27